Compound: TbSmZn
Source: Alexandria
Functional: PBE
Structure: relaxed

The energy relative to the elements is -0.15 eV/f.u. Its space-group type is P3m1, No. 156.

Lattice parameters (Å, degrees): 5.0121 5.0121 3.7147 90.00 90.00 120.00
Element x y z (fractional)
Tb1 0.0000 0.0000 0.0000
Sm1 0.3333 0.6667 0.4515
Zn1 0.6667 0.3333 0.7541


Compound: ZnNi2Bi2
Source: Alexandria
Functional: PBE
Structure: relaxed

The energy relative to the elements is 0.90 eV/f.u. Its space-group type is I4/mmm, No. 139.

Lattice parameters (Å, degrees): 3.5564 3.5564 16.5235 90.00 90.00 90.00
Element x y z (fractional)
Zn1 0.0000 0.0000 0.0000
Zn2 0.5000 0.5000 0.5000
Ni1 0.0000 0.5000 0.2500
Ni2 0.0000 0.5000 0.7500
Ni3 0.5000 0.0000 0.2500
Ni4 0.5000 0.0000 0.7500
Bi1 0.0000 0.0000 0.3727
Bi2 0.0000 0.0000 0.6273
Bi3 0.5000 0.5000 0.1273
Bi4 0.5000 0.5000 0.8727


Offset from the most stable computed form / meV/atom: 157; 60